Entry 1:
VASP calculation (PBE-GGA) on SmNi4B after structural relaxation.

The structure in POSCAR format:
```
SmNi4B
1.0
5.040 0.000 0.000
-2.520 4.365 0.000
0.000 0.000 6.996
B Ni Sm
2 8 2
direct
0.667 0.333 0.500
0.333 0.667 0.500
0.667 0.333 0.000
0.333 0.667 0.000
0.500 0.000 0.293
0.000 0.500 0.293
0.500 0.500 0.293
0.500 0.000 0.707
0.000 0.500 0.707
0.500 0.500 0.707
0.000 0.000 0.000
0.000 0.000 0.500
```

Computed properties:
Its symmetry is P6/mmm. Its uncorrected energy is -72.750 eV/cell.

=====

Entry 2:
VASP calculation (PBE-GGA) on TaTc2Mo after structural relaxation.

The structure in POSCAR format:
```
TaTc2Mo
1.0
0.000 3.153 3.153
3.153 0.000 3.153
3.153 3.153 0.000
Mo Ta Tc
1 1 2
direct
0.750 0.750 0.750
0.000 0.000 0.000
0.250 0.250 0.250
0.500 0.500 0.500
```

Computed properties:
The calculation puts the formation energy at -0.052 eV/atom. Its symmetry is F-43m.

=====

Entry 3:
VASP calculation (PBE-GGA) on ScZnCoB after structural relaxation.

The structure in POSCAR format:
```
ScZnCoB
1.0
-3.871 -1.187 -0.691
-3.091 2.643 0.572
-2.057 1.483 -3.230
B Co Sc Zn
1 1 1 1
direct
0.000 0.000 0.000
0.750 0.750 0.750
0.250 0.250 0.250
0.500 0.500 0.500
```

Computed properties:
Its symmetry is F-43m. The energy above the lowest structure with this stoichiometry comes out at 0.00 eV per formula unit.

=====

Entry 4:
VASP calculation (PBE-GGA) on Cd4HgC2S after structural relaxation.

The structure in POSCAR format:
```
Cd4HgC2S
1.0
3.609 0.000 0.000
-1.804 3.125 0.000
0.000 0.000 13.357
C Cd Hg S
2 4 1 1
direct
0.333 0.667 0.261
0.333 0.667 0.739
0.667 0.333 0.182
0.000 0.000 0.369
0.000 0.000 0.631
0.667 0.333 0.818
0.000 0.000 0.000
0.667 0.333 0.500
```

Computed properties:
Its symmetry is P-6m2. Its uncorrected energy is -19.597 eV/cell.

=====

Entry 5:
VASP calculation (PBE-GGA) on NaScZnS3 after structural relaxation.

The structure in POSCAR format:
```
NaScZnS3
1.0
8.452 -1.864 0.000
8.452 1.864 0.000
-1.789 0.000 7.638
Na S Sc Zn
2 6 2 2
direct
0.864 0.864 0.427
0.136 0.136 0.573
0.000 0.000 0.000
0.329 0.329 0.140
0.670 0.670 0.305
0.500 0.500 0.500
0.330 0.330 0.695
0.671 0.671 0.860
0.177 0.177 0.086
0.823 0.823 0.914
0.527 0.527 0.227
0.473 0.473 0.773
```

Computed properties:
Its symmetry is C2/m. The energy above the lowest structure with this stoichiometry comes out at 0.45 eV per formula unit.

=====

Entry 6:
VASP calculation (PBE-GGA) on Ga3Fe5Ge2 after structural relaxation.

The structure in POSCAR format:
```
Ga3Fe5Ge2
1.0
1.989 -5.958 0.000
1.989 5.958 0.000
0.000 0.000 11.413
Fe Ga Ge
10 6 4
direct
0.027 0.973 0.132
0.653 0.347 0.138
0.840 0.160 0.250
0.653 0.347 0.362
0.027 0.973 0.368
0.973 0.027 0.632
0.347 0.653 0.638
0.160 0.840 0.750
0.347 0.653 0.862
0.973 0.027 0.868
0.500 0.500 0.000
0.828 0.172 0.026
0.828 0.172 0.474
0.500 0.500 0.500
0.172 0.828 0.526
0.172 0.828 0.974
0.462 0.538 0.250
0.215 0.785 0.250
0.785 0.215 0.750
0.538 0.462 0.750
```

Computed properties:
Its symmetry is Cmcm. Its uncorrected energy is -122.535 eV/cell.

=====

Entry 7:
VASP calculation (PBE-GGA) on InSnTe4Au3 after structural relaxation.

The structure in POSCAR format:
```
InSnTe4Au3
1.0
-2.404 -5.896 1.893
2.543 -2.791 -5.465
5.646 -1.253 3.267
Au In Sn Te
3 1 1 4
direct
0.500 0.500 0.000
0.500 0.000 0.500
0.000 0.500 0.500
0.000 0.000 0.000
0.500 0.500 0.500
0.245 0.245 0.245
0.755 0.755 0.245
0.755 0.245 0.755
0.245 0.755 0.755
```

Computed properties:
Its symmetry is P-43m. Its uncorrected energy is -29.401 eV/cell.

=====

Entry 8:
VASP calculation (PBE-GGA) on Zn2Sn after structural relaxation.

The structure in POSCAR format:
```
Zn2Sn
1.0
-10.384 5.647 7.466
-2.027 -0.312 -2.583
-1.366 -4.675 1.636
Sn Zn
4 8
direct
0.335 0.000 0.000
0.835 0.500 0.000
0.110 0.000 0.500
0.610 0.500 0.500
0.006 0.000 0.000
0.660 0.000 0.000
0.160 0.500 0.000
0.506 0.500 0.000
0.438 0.000 0.500
0.784 0.000 0.500
0.284 0.500 0.500
0.938 0.500 0.500
```

Computed properties:
Its symmetry is Cmcm. Its uncorrected energy is -24.481 eV/cell.

=====

Entry 9:
VASP calculation (PBE-GGA) on HfPd2O4 after structural relaxation.

The structure in POSCAR format:
```
HfPd2O4
1.0
-3.311 -3.091 4.488
-3.063 3.069 -4.675
3.247 -5.336 -1.282
Hf O Pd
2 8 4
direct
0.000 0.000 0.000
0.750 0.500 0.250
0.624 0.248 0.376
0.127 0.752 0.376
0.624 0.752 0.376
0.126 0.252 0.377
0.624 0.248 0.873
0.126 0.748 0.874
0.623 0.748 0.874
0.126 0.252 0.874
0.375 0.750 0.125
0.375 0.250 0.625
0.875 0.250 0.625
0.375 0.750 0.625
```

Computed properties:
Its symmetry is Fd-3m. Its uncorrected energy is -97.790 eV/cell.

=====

Entry 10:
VASP calculation (PBE-GGA) on GdDyGa5 after structural relaxation.

The structure in POSCAR format:
```
GdDyGa5
1.0
4.198 0.000 0.000
0.000 4.198 0.000
0.000 0.000 8.626
Dy Ga Gd
1 5 1
direct
0.000 0.000 0.500
0.500 0.500 0.000
0.500 0.000 0.254
0.000 0.500 0.254
0.500 0.000 0.746
0.000 0.500 0.746
0.000 0.000 0.000
```

Computed properties:
Its symmetry is P4/mmm. Its uncorrected energy is -27.460 eV/cell.

=====

Entry 11:
VASP calculation (PBE-GGA) on Sc4ZnInC2 after structural relaxation.

The structure in POSCAR format:
```
Sc4ZnInC2
1.0
3.340 0.000 0.000
-1.670 2.892 0.000
0.000 0.000 14.908
C In Sc Zn
2 1 4 1
direct
0.333 0.667 0.257
0.333 0.667 0.743
0.000 0.000 0.000
0.667 0.333 0.174
0.000 0.000 0.339
0.000 0.000 0.661
0.667 0.333 0.826
0.667 0.333 0.500
```

Computed properties:
Its symmetry is P-6m2. Its uncorrected energy is -51.427 eV/cell.

=====

Entry 12:
VASP calculation (PBE-GGA) on Ga2HgTeSe3 after structural relaxation.

The structure in POSCAR format:
```
Ga2HgTeSe3
1.0
5.934 0.000 0.000
-0.156 6.028 0.000
-2.830 -2.877 5.626
Ga Hg Se Te
2 1 3 1
direct
0.760 0.264 0.507
0.502 0.489 0.994
0.995 0.003 0.000
0.875 0.409 0.267
0.133 0.132 0.722
0.594 0.596 0.722
0.391 0.858 0.289
```

Computed properties:
Its symmetry is P1. Its uncorrected energy is -23.116 eV/cell.

=====

Entry 13:
VASP calculation (PBE-GGA) on LaTbPO after structural relaxation.

The structure in POSCAR format:
```
LaTbPO
1.0
-2.742 -2.600 1.802
-1.125 -3.700 -7.049
4.150 -3.545 1.198
La O P Tb
2 2 2 2
direct
0.000 0.625 0.462
0.000 0.375 0.962
0.000 0.318 0.413
0.000 0.682 0.913
0.500 0.853 0.439
0.500 0.147 0.939
0.500 0.193 0.440
0.500 0.807 0.940
```

Computed properties:
Its symmetry is Pmc2_1. The energy above the lowest structure with this stoichiometry comes out at 0.17 eV per formula unit.

=====

Entry 14:
VASP calculation (PBE-GGA) on SmTlCo after structural relaxation.

The structure in POSCAR format:
```
SmTlCo
1.0
1.457 -4.380 0.422
-1.802 -2.736 3.279
-2.801 -3.499 -1.183
Co Sm Tl
1 1 1
direct
0.000 0.000 0.000
0.250 0.250 0.250
0.750 0.750 0.750
```

Computed properties:
Its symmetry is F-43m. Its uncorrected energy is -14.121 eV/cell.

=====

Entry 15:
VASP calculation (PBE-GGA) on CdCuReAs after structural relaxation.

The structure in POSCAR format:
```
CdCuReAs
1.0
0.000 3.167 3.167
3.167 0.000 3.167
3.167 3.167 0.000
As Cd Cu Re
1 1 1 1
direct
0.000 0.000 0.000
0.500 0.500 0.500
0.750 0.750 0.750
0.250 0.250 0.250
```

Computed properties:
Its symmetry is F-43m. The energy above the lowest structure with this stoichiometry comes out at 0.00 eV per formula unit.

=====

Entry 16:
VASP calculation (PBE-GGA) on W2CSeS after structural relaxation.

The structure in POSCAR format:
```
W2CSeS
1.0
3.318 0.000 0.000
-1.659 2.874 0.000
0.000 0.000 9.212
C S Se W
1 1 1 2
direct
0.000 0.000 0.002
0.333 0.667 0.291
0.667 0.333 0.698
0.667 0.333 0.118
0.333 0.667 0.892
```

Computed properties:
Its symmetry is P3m1. Its uncorrected energy is -43.847 eV/cell.

=====

Entry 17:
VASP calculation (PBE-GGA) on LaNi after structural relaxation.

The structure in POSCAR format:
```
LaNi
1.0
-2.408 -3.610 -0.684
3.457 -2.951 3.403
0.573 -1.418 5.469
La Ni
2 2
direct
0.500 0.137 0.137
0.000 0.863 0.863
0.500 0.425 0.425
0.000 0.575 0.575
```

Computed properties:
The calculation puts the formation energy at -0.343 eV/atom. Its symmetry is Cmcm.

=====

Entry 18:
VASP calculation (PBE-GGA) on PrNdNi2Sn4 after structural relaxation.

The structure in POSCAR format:
```
PrNdNi2Sn4
1.0
-0.719 4.323 1.243
3.473 -1.866 8.502
7.044 -0.597 6.153
Nd Ni Pr Sn
1 2 1 4
direct
0.000 0.891 0.891
0.500 0.318 0.318
0.000 0.682 0.682
0.500 0.109 0.109
0.000 0.251 0.251
0.500 0.453 0.453
0.000 0.547 0.547
0.500 0.749 0.749
```

Computed properties:
Its symmetry is Amm2. Its uncorrected energy is -41.513 eV/cell.

=====

Entry 19:
VASP calculation (PBE-GGA) on Si3Os2 after structural relaxation.

The structure in POSCAR format:
```
Si3Os2
1.0
-1.131 -9.957 -5.057
8.898 -1.292 0.552
-0.668 -2.465 5.002
Os Si
16 24
direct
0.245 0.187 0.237
0.255 0.687 0.237
0.000 0.038 0.250
0.500 0.076 0.250
0.500 0.538 0.250
0.000 0.576 0.250
0.755 0.187 0.263
0.745 0.687 0.263
0.255 0.313 0.737
0.245 0.813 0.737
0.000 0.424 0.750
0.500 0.462 0.750
0.500 0.924 0.750
0.000 0.962 0.750
0.745 0.313 0.763
0.755 0.813 0.763
0.574 0.294 0.056
0.926 0.794 0.056
0.319 0.437 0.090
0.181 0.937 0.090
0.869 0.393 0.105
0.631 0.893 0.105
0.131 0.393 0.395
0.369 0.893 0.395
0.681 0.437 0.410
0.819 0.937 0.410
0.426 0.294 0.444
0.074 0.794 0.444
0.926 0.206 0.556
0.574 0.706 0.556
0.181 0.063 0.590
0.319 0.563 0.590
0.631 0.107 0.605
0.869 0.607 0.605
0.369 0.107 0.895
0.131 0.607 0.895
0.819 0.063 0.910
0.681 0.563 0.910
0.074 0.206 0.944
0.426 0.706 0.944
```

Computed properties:
Its symmetry is Pbcn. Its uncorrected energy is -327.883 eV/cell.

=====

Entry 20:
VASP calculation (PBE-GGA) on La2AsPPd2 after structural relaxation.

The structure in POSCAR format:
```
La2AsPPd2
1.0
-2.154 3.442 -1.589
-2.143 -3.072 2.233
1.361 3.986 6.791
As La P Pd
1 2 1 2
direct
0.667 0.333 0.000
0.000 0.000 0.254
0.000 0.000 0.746
0.333 0.667 0.500
0.333 0.667 0.000
0.667 0.333 0.500
```

Computed properties:
Its symmetry is P-6m2. Its uncorrected energy is -37.977 eV/cell.